No. 1
Entry from Alexandria via LeMat-Bulk: a geometry-optimized NaHoNiF6 structure (GGA+U).

The structure in extended XYZ format:
```
18
Lattice="5.594 0.000 0.000 -2.797 4.844 0.000 0.000 0.000 9.585" Properties=species:S:1:pos:R:3 pbc="T T T"
Na 0.000 0.000 0.000
Na 0.000 0.000 4.793
Ho 0.000 3.230 2.396
Ho 2.797 1.615 7.189
Ni 0.000 3.230 7.189
Ni 2.797 1.615 2.396
F -0.911 1.772 6.094
F -1.718 3.170 8.283
F 0.911 1.772 8.283
F -0.807 4.747 6.094
F 1.990 0.097 1.302
F 1.079 1.675 3.491
F 1.718 3.170 6.094
F 0.807 4.747 8.283
F 3.604 0.097 3.491
F 1.886 3.073 1.302
F 4.515 1.675 1.302
F 3.708 3.073 3.491
```


No. 2
Entry from Alexandria via LeMat-Bulk: a geometry-optimized Na2HoNi3F12 structure (GGA+U).

The structure in extended XYZ format:
```
18
Lattice="3.654 2.110 5.277 -3.654 2.110 5.277 0.000 -4.219 5.277" Properties=species:S:1:pos:R:3 pbc="T T T"
Na 0.000 0.000 2.176
Na 0.000 0.000 13.656
Ho 0.000 0.000 7.916
Ni -1.827 -1.055 5.277
Ni -1.827 1.055 10.554
Ni 0.000 2.110 5.277
F -1.962 -1.133 7.246
F 0.000 -1.577 5.700
F -1.366 0.789 5.700
F 0.000 -2.266 8.585
F -1.962 1.133 8.585
F -1.366 -0.789 10.132
F 1.366 0.789 5.700
F 1.962 -1.133 7.246
F 0.000 2.266 7.246
F 1.366 -0.789 10.132
F 0.000 1.577 10.132
F 1.962 1.133 8.585
```


| no. | total energy (eV/atom) | M_tot (μB per cell) | N(E_F) (states/eV/cell) |
| --- | --- | --- | --- |
| 1 | -5.335 | 3.8 | 0.000 |
| 2 | -4.633 | 5.0 | 6.193 |